No. 1
TbTm2Th | PBE | optimized geometry

## Properties
Crystal system = trigonal
E_form = 22 meV per atom

Lattice parameters (Å, degrees): 3.5457 3.5457 34.2187 90.00 90.00 120.00
Element x y z (fractional)
Tb  0.0000  0.0000  0.0000
Tb  0.3333  0.6667  0.6667
Tb  0.6667  0.3333  0.3333
Tm  0.0000  0.0000  0.2488
Tm  0.0000  0.0000  0.7512
Tm  0.3333  0.6667  0.4179
Tm  0.3333  0.6667  0.9154
Tm  0.6667  0.3333  0.0846
Tm  0.6667  0.3333  0.5821
Th  0.0000  0.0000  0.5000
Th  0.3333  0.6667  0.1667
Th  0.6667  0.3333  0.8333



No. 2
TbTm3Th | PBE | optimized geometry

## Properties
Crystal system = monoclinic
E_form = 399 meV per atom

Lattice parameters (Å, degrees): 6.5472 6.5472 10.8111 90.13 90.13 132.69
Element x y z (fractional)
Tb  0.1600  0.8400  0.0000
Tb  0.8400  0.1600  0.0000
Tm  0.0038  0.0038  0.7629
Tm  0.3343  0.6603  0.2713
Tm  0.3397  0.6657  0.7287
Tm  0.6603  0.3343  0.2713
Tm  0.6657  0.3397  0.7287
Tm  0.9962  0.9962  0.2371
Th  0.1427  0.8573  0.5000
Th  0.8573  0.1427  0.5000



Number 1: energy above the most stable polymorph in this dataset 0.000 eV per atom. Number 2: energy above the most stable polymorph in this dataset 0.252 eV per atom.